[1]
# BeCdOs2

A relaxed BeCdOs2 crystal (PBE-GGA, Alexandria).

abc: 4.9461 4.9461 4.9461
angles: 135.30 135.30 65.06
Closest atoms and distances in Å follow each position.
Sites, in units of the cell vectors:
Be 0.0000 0.0000 0.0000  4 Cd 2.66, 8 Os 2.81
Cd 0.5000 0.5000 0.0000  4 Be 2.66, 8 Os 2.81
Os 0.2500 0.7500 0.5000  4 Os 2.66, 4 Cd 2.81, 4 Be 2.81
Os 0.7500 0.2500 0.5000  4 Os 2.66, 4 Cd 2.81, 4 Be 2.81

E_tot, eV/cell: -24.11
ΔE to the lowest computed polymorph, meV per atom: 598
ΔH_f (0 K), meV/atom: 748
Fermi-level density of states, states/eV per cell: 4.6

=====

[2]
# BeCd2Os

A relaxed BeCd2Os crystal (PBE-GGA, Alexandria).

abc: 4.7752 4.7752 4.7752
angles: 129.14 129.14 74.79
Closest atoms and distances in Å follow each position.
Sites, in units of the cell vectors:
Be 0.0000 0.0000 0.0000  8 Cd 2.79-2.90, 4 Os 2.79
Cd 0.2500 0.7500 0.5000  4 Cd 2.79, 4 Be 2.79, 4 Os 2.90
Cd 0.5000 0.5000 0.0000  4 Os 2.79, 4 Cd 2.79, 4 Be 2.90
Os 0.7500 0.2500 0.5000  8 Cd 2.79-2.90, 4 Be 2.79

E_tot, eV/cell: -14.40
ΔH_f (0 K), meV/atom: 597
Fermi-level density of states, states/eV per cell: 2.2

=====

[3]
# BeCd2Os

A relaxed BeCd2Os crystal (PBE-GGA, Alexandria).

abc: 2.8269 2.8269 8.0229
angles: 90.00 90.00 90.00
Closest atoms and distances in Å follow each position.
Sites, in units of the cell vectors:
Be 0.0000 0.0000 0.0000  8 Cd 2.73, 4 Be 2.83
Cd 0.5000 0.5000 0.2318  4 Be 2.73, 4 Cd 2.83, 4 Os 2.94
Cd 0.5000 0.5000 0.7682  4 Be 2.73, 4 Cd 2.83, 4 Os 2.94
Os 0.0000 0.0000 0.5000  4 Os 2.83, 8 Cd 2.94

E_tot, eV/cell: -13.94
ΔH_f (0 K), meV/atom: 713
Fermi-level density of states, states/eV per cell: 3.1